# Te2PtCl

A geometry-optimized Te2PtCl structure (PBE, Alexandria).

The calculation puts the formation energy from raw total energies at 13 kJ per mole of atoms. The spin magnetization comes out at 0.000 μB/atom. The value obtained for the density is 9.46 g/cm3.

Unit cell a=6.986 b=6.986 c=6.986 alpha=90.00 beta=90.00 gamma=90.00
Space group Fm-3m (No. 225)
Unique sites:
Te: 0.250 0.250 0.250 [8 per cell]
Pt: 0.000 0.000 0.000 [4 per cell]
Cl: 0.000 0.000 0.500 [4 per cell]